# LuAsPt | Alexandria via LeMat-Bulk | PBEsol | relaxed
# Energy relative to the elements: -1.154 eV/atom
# Symmetry: P6_3/mmc (194)
# DFT total energy: -40.808 eV for the cell shown
# D(E_F): 0.73 states/eV/f.u.
data_LuAsPt
_chemical_formula_sum 'Lu2 As2 Pt2'
_cell_length_a 4.221
_cell_length_b 4.221
_cell_length_c 7.353
_cell_angle_alpha 90.00
_cell_angle_beta 90.00
_cell_angle_gamma 120.00
_symmetry_space_group_name_H-M 'P 1'
_symmetry_Int_Tables_number 1
_symmetry_space_group_name_Hall 'P 1'
loop_
_atom_site_label
_atom_site_fract_x
_atom_site_fract_y
_atom_site_fract_z
Lu1 0.000 0.000 0.000
Pt1 0.667 0.333 0.750
As1 0.333 0.667 0.750
As2 0.667 0.333 0.250
Pt2 0.333 0.667 0.250
Lu2 0.000 0.000 0.500